The following is a DFT calculation (meta-GGA SCAN) of a crystal of LiScZn2 relaxed with PBEsol.

The final energy is -11.261 eV per atom. Its formation energy is -0.35 eV/atom.

The structure belongs to space group F-43m (No. 216); the cell edges are 6.235, 6.235 and 6.235 Å and the angles 90.00°, 90.00° and 90.00°. The distinct sites, in fractional coordinates, are Li at (0.000, 0.000, 0.000), Sc at (0.250, 0.250, 0.750), Zn at (0.000, 0.000, 0.500) and Zn at (0.250, 0.250, 0.250).

***

The following is a DFT calculation (meta-GGA SCAN) of a crystal of Li2ScZn2 relaxed with PBEsol.

The final energy is -9.385 eV per atom. Its formation energy is -0.18 eV/atom.

The structure belongs to space group P4/mbm (No. 127); the cell edges are 7.457, 7.457 and 2.805 Å and the angles 90.00°, 90.00° and 90.00°. The distinct sites, in fractional coordinates, are Li at (0.117, 0.383, 0.000), Sc at (0.000, 0.000, 0.000) and Zn at (0.183, 0.683, 0.500).

***

The following is a DFT calculation (meta-GGA SCAN) of a crystal of Li2ZrSc relaxed with PBEsol.

The final energy is -12.151 eV per atom. Its formation energy is 0.28 eV/atom.

The structure belongs to space group P2/m (No. 10); the cell edges are 2.877, 5.304 and 5.463 Å and the angles 90.00°, 95.33° and 90.00°. The distinct sites, in fractional coordinates, are Li at (0.219, 0.000, 0.245), Zr at (0.500, 0.500, 0.000) and Sc at (0.000, 0.500, 0.500).

***

The following is a DFT calculation (meta-GGA SCAN) of a crystal of LiZrSc3 relaxed with PBEsol.

The final energy is -14.553 eV per atom. Its formation energy is 0.61 eV/atom.

The structure belongs to space group Pm-3m (No. 221); the cell edges are 4.832, 4.832 and 4.832 Å and the angles 90.00°, 90.00° and 90.00°. The distinct sites, in fractional coordinates, are Li at (0.000, 0.000, 0.000), Zr at (0.500, 0.500, 0.500) and Sc at (0.000, 0.000, 0.500).

***

The following is a DFT calculation (meta-GGA SCAN) of a crystal of Li2ZrSc relaxed with PBEsol.

The final energy is -12.170 eV per atom. Its formation energy is 0.26 eV/atom.

The structure belongs to space group Pm (No. 6); the cell edges are 2.918, 4.695 and 6.108 Å and the angles 90.00°, 103.83° and 90.00°. The distinct sites, in fractional coordinates, are Li at (0.000, 0.000, 0.000), Li at (0.180, 0.500, 0.250), Zr at (0.395, 0.500, 0.755) and Sc at (0.776, 0.000, 0.503).

***

The following is a DFT calculation (meta-GGA SCAN) of a crystal of Li2ZrSc relaxed with PBEsol.

The final energy is -11.961 eV per atom. Its formation energy is 0.47 eV/atom.

The structure belongs to space group F-43m (No. 216); the cell edges are 6.873, 6.873 and 6.873 Å and the angles 90.00°, 90.00° and 90.00°. The distinct sites, in fractional coordinates, are Li at (0.000, 0.000, 0.000), Li at (0.250, 0.250, 0.250), Zr at (0.250, 0.250, 0.750) and Sc at (0.000, 0.000, 0.500).

***

The following is a DFT calculation (meta-GGA SCAN) of a crystal of Li2ZrSc relaxed with PBEsol.

The final energy is -12.094 eV per atom. Its formation energy is 0.33 eV/atom.

The structure belongs to space group Pmmm (No. 47); the cell edges are 2.866, 4.764 and 5.906 Å and the angles 90.00°, 90.00° and 90.00°. The distinct sites, in fractional coordinates, are Li at (0.000, 0.000, 0.246), Zr at (0.500, 0.500, 0.000) and Sc at (0.500, 0.500, 0.500).

***

The following is a DFT calculation (meta-GGA SCAN) of a crystal of Li2ZrSc relaxed with PBEsol.

The final energy is -12.333 eV per atom. Its formation energy is 0.10 eV/atom.

The structure belongs to space group P4mm (No. 99); the cell edges are 3.059, 3.059 and 9.176 Å and the angles 90.00°, 90.00° and 90.00°. The distinct sites, in fractional coordinates, are Li at (0.000, 0.000, 0.000), Li at (0.500, 0.500, 0.235), Zr at (0.000, 0.000, 0.498) and Sc at (0.500, 0.500, 0.732).

***

The following is a DFT calculation (meta-GGA SCAN) of a crystal of Li8Se relaxed with PBEsol.

Its formation energy from raw total energies is -0.367 eV per atom. The final energy is -4.722 eV per atom.

The structure belongs to space group I4/mmm (No. 139); the cell edges are 9.104, 9.104 and 3.813 Å and the angles 90.00°, 90.00° and 90.00°. The distinct sites, in fractional coordinates, are Li at (0.000, 0.327, 0.000), Li at (0.151, 0.151, 0.500) and Se at (0.000, 0.000, 0.000).

***

The following is a DFT calculation (meta-GGA SCAN) of a crystal of LiSe2 relaxed with PBEsol.

Its formation energy from raw total energies is -0.472 eV per atom. The final energy is -14.654 eV per atom.

The structure belongs to space group C2/m (No. 12); the cell edges are 10.678, 2.866 and 7.928 Å and the angles 90.00°, 106.67° and 90.00°. The distinct sites, in fractional coordinates, are Li at (0.128, 0.000, 0.000), Se at (0.024, 0.500, 0.265) and Se at (0.238, 0.000, 0.731).

***

The following is a DFT calculation (meta-GGA SCAN) of a crystal of Li2Se relaxed with PBEsol.

Its formation energy from raw total energies is -1.316 eV per atom. The final energy is -9.602 eV per atom.

The structure belongs to space group C2/m (No. 12); the cell edges are 7.258, 4.098 and 7.717 Å and the angles 90.00°, 103.42° and 90.00°. The distinct sites, in fractional coordinates, are Li at (0.089, 0.000, 0.334), Li at (0.194, 0.500, 0.110) and Se at (0.107, 0.500, 0.765).

***

The following is a DFT calculation (meta-GGA SCAN) of a crystal of Li2Se relaxed with PBEsol.

Its formation energy from raw total energies is -1.419 eV per atom. The final energy is -9.705 eV per atom.

The structure belongs to space group Fm-3m (No. 225); the cell edges are 5.944, 5.944 and 5.944 Å and the angles 90.00°, 90.00° and 90.00°. The distinct sites, in fractional coordinates, are Li at (0.250, 0.250, 0.250) and Se at (0.000, 0.000, 0.000).

***

The following is a DFT calculation (meta-GGA SCAN) of a crystal of Li2Se relaxed with PBEsol.

Its formation energy from raw total energies is -1.327 eV per atom. The final energy is -9.613 eV per atom.

The structure belongs to space group Cmc2_1 (No. 36); the cell edges are 4.132, 7.202 and 6.644 Å and the angles 90.00°, 90.00° and 90.00°. The distinct sites, in fractional coordinates, are Li at (0.000, 0.003, 0.000), Li at (0.000, 0.333, 0.230) and Se at (0.000, 0.335, 0.839).

***

The following is a DFT calculation (meta-GGA SCAN) of a crystal of Li3Se relaxed with PBEsol.

Its formation energy from raw total energies is -0.864 eV per atom. The final energy is -7.676 eV per atom.

The structure belongs to space group Pm-3m (No. 221); the cell edges are 3.880, 3.880 and 3.880 Å and the angles 90.00°, 90.00° and 90.00°. The distinct sites, in fractional coordinates, are Li at (0.000, 0.000, 0.500) and Se at (0.500, 0.500, 0.500).

***

The following is a DFT calculation (meta-GGA SCAN) of a crystal of LiSe2 relaxed with PBEsol.

Its formation energy from raw total energies is -0.348 eV per atom. The final energy is -14.530 eV per atom.

The structure belongs to space group P-3m1 (No. 164); the cell edges are 2.9226, 2.9226 and 7.7665 Å and the angles 90.00°, 90.00° and 120.00°. The distinct sites, in fractional coordinates, are Li at (0.0000, 0.0000, 0.0000) and Se at (0.3333, 0.6667, 0.2635).

***

The following is a DFT calculation (meta-GGA SCAN) of a crystal of Li2ZnSiSe relaxed with PBEsol.

Its formation energy from raw total energies is 0.158 eV per atom. The final energy is -9.520 eV per atom.

The structure belongs to space group P4/mmm (No. 123); the cell edges are 4.787, 4.787 and 4.291 Å and the angles 90.00°, 90.00° and 90.00°. The distinct sites, in fractional coordinates, are Li at (0.000, 0.500, 0.000), Zn at (0.000, 0.000, 0.000), Si at (0.000, 0.000, 0.500) and Se at (0.500, 0.500, 0.500).

***

The following is a DFT calculation (meta-GGA SCAN) of a crystal of Li3SnSe relaxed with PBEsol.

Its formation energy from raw total energies is -0.553 eV per atom. The final energy is -13.187 eV per atom.

The structure belongs to space group Pm-3m (No. 221); the cell edges are 4.745, 4.745 and 4.745 Å and the angles 90.00°, 90.00° and 90.00°. The distinct sites, in fractional coordinates, are Li at (0.000, 0.000, 0.500), Sn at (0.500, 0.500, 0.500) and Se at (0.000, 0.000, 0.000).

***

The following is a DFT calculation (meta-GGA SCAN) of a crystal of Sr3LiSe relaxed with PBEsol.

Its formation energy from raw total energies is -0.065 eV per atom. The final energy is -17.924 eV per atom.

The structure belongs to space group Pm-3m (No. 221); the cell edges are 5.803, 5.803 and 5.803 Å and the angles 90.00°, 90.00° and 90.00°. The distinct sites, in fractional coordinates, are Sr at (0.000, 0.000, 0.500), Li at (0.000, 0.000, 0.000) and Se at (0.500, 0.500, 0.500).

***

The following is a DFT calculation (meta-GGA SCAN) of a crystal of Sr2LiSe relaxed with PBEsol.

Its formation energy from raw total energies is -0.725 eV per atom. The final energy is -17.480 eV per atom.

The structure belongs to space group I-4m2 (No. 119); the cell edges are 4.482, 4.482 and 12.465 Å and the angles 90.00°, 90.00° and 90.00°. The distinct sites, in fractional coordinates, are Sr at (0.000, 0.000, 0.000), Sr at (0.000, 0.500, 0.250), Li at (0.000, 0.000, 0.500) and Se at (0.000, 0.500, 0.750).

***

The following is a DFT calculation (meta-GGA SCAN) of a crystal of SrLiSe relaxed with PBEsol.

Its formation energy from raw total energies is -1.078 eV per atom. The final energy is -15.993 eV per atom.

The structure belongs to space group I4mm (No. 107); the cell edges are 3.717, 3.717 and 10.698 Å and the angles 90.00°, 90.00° and 90.00°. The distinct sites, in fractional coordinates, are Sr at (0.000, 0.000, 0.000), Li at (0.000, 0.000, 0.729) and Se at (0.000, 0.000, 0.320).